No. 1
The following is a DFT calculation (PBE) of BaGd2Mg after structural relaxation.

Output
crystal system: trigonal
formation enthalpy at 0 K: 250 meV/atom

Unit cell a=3.6135 b=3.6135 c=37.5401 alpha=90.00 beta=90.00 gamma=120.00
Atoms (fractional coordinates):
1 Ba 0.0000 0.0000 0.0000
2 Ba 0.3333 0.6667 0.6667
3 Ba 0.6667 0.3333 0.3333
4 Gd 0.0000 0.0000 0.0967
5 Gd 0.0000 0.0000 0.9033
6 Gd 0.3333 0.6667 0.5700
7 Gd 0.3333 0.6667 0.7633
8 Gd 0.6667 0.3333 0.2367
9 Gd 0.6667 0.3333 0.4300
10 Mg 0.0000 0.0000 0.5000
11 Mg 0.3333 0.6667 0.1667
12 Mg 0.6667 0.3333 0.8333

=====

No. 2
The following is a DFT calculation (PBE) of PmTh2Bi2Se2 after structural relaxation.

Output
crystal system: tetragonal
ΔE_f (raw): -0.714 eV per atom

Unit cell a=5.3419 b=5.3419 c=16.2495 alpha=90.00 beta=90.00 gamma=90.00
Atoms (fractional coordinates):
1 Pm 0.0000 0.0000 0.0000
2 Pm 0.5000 0.5000 0.5000
3 Th 0.0000 0.0000 0.3869
4 Th 0.0000 0.0000 0.6131
5 Th 0.5000 0.5000 0.1131
6 Th 0.5000 0.5000 0.8869
7 Bi 0.0000 0.0000 0.1913
8 Bi 0.0000 0.0000 0.8087
9 Bi 0.5000 0.5000 0.3087
10 Bi 0.5000 0.5000 0.6913
11 Se 0.0000 0.5000 0.0000
12 Se 0.0000 0.5000 0.5000
13 Se 0.5000 0.0000 0.0000
14 Se 0.5000 0.0000 0.5000

=====

No. 3
The following is a DFT calculation (PBE) of Ba2LaPd after structural relaxation.

Output
crystal system: monoclinic
formation enthalpy at 0 K: -359 meV/atom

Unit cell a=4.2882 b=4.2882 c=19.7447 alpha=90.00 beta=90.00 gamma=90.00
Atoms (fractional coordinates):
1 Ba 0.2484 0.0000 0.2398
2 Ba 0.2508 0.9991 0.5854
3 Ba 0.7492 0.4991 0.4146
4 Ba 0.7516 0.5000 0.7602
5 La 0.2501 0.0025 0.9287
6 La 0.7499 0.5025 0.0713
7 Pd 0.2499 0.0026 0.0787
8 Pd 0.7501 0.5026 0.9213

=====

No. 4
The following is a DFT calculation (PBE) of YHf2ScBe after structural relaxation.

Output
crystal system: tetragonal
formation enthalpy at 0 K: 1468 meV/atom

Unit cell a=4.9973 b=4.9973 c=5.2681 alpha=90.00 beta=90.00 gamma=90.00
Atoms (fractional coordinates):
1 Y 0.0000 0.0000 0.0000
2 Hf 0.0000 0.5000 0.5000
3 Hf 0.5000 0.0000 0.5000
4 Sc 0.0000 0.0000 0.5000
5 Be 0.5000 0.5000 0.0000

=====

No. 5
The following is a DFT calculation (PBE) of RbBiSe2O8 after structural relaxation.

Output
crystal system: trigonal
ΔE_f (raw): -1.026 eV per atom

Unit cell a=9.3504 b=9.3504 c=9.3504 alpha=33.47 beta=33.47 gamma=33.47
Atoms (fractional coordinates):
1 Rb 0.0000 0.0000 0.0000
2 Bi 0.5000 0.5000 0.5000
3 Se 0.2426 0.2426 0.2426
4 Se 0.7574 0.7574 0.7574
5 O 0.0760 0.7761 0.4860
6 O 0.2239 0.5140 0.9240
7 O 0.3048 0.3048 0.3048
8 O 0.4860 0.0760 0.7761
9 O 0.5140 0.9240 0.2239
10 O 0.6952 0.6952 0.6952
11 O 0.7761 0.4860 0.0760
12 O 0.9240 0.2239 0.5140

=====

No. 6
The following is a DFT calculation (PBE) of AsRhBr2F after structural relaxation.

Output
crystal system: tetragonal
ΔE_f (raw): 0.440 eV per atom

Unit cell a=5.4445 b=5.4445 c=3.8312 alpha=90.00 beta=90.00 gamma=90.00
Atoms (fractional coordinates):
1 As 0.0000 0.0000 0.0000
2 Rh 0.5000 0.5000 0.0000
3 Br 0.0000 0.5000 0.5000
4 Br 0.5000 0.0000 0.5000
5 F 0.0000 0.0000 0.5000

=====

No. 7
The following is a DFT calculation (PBE) of HoThInPd after structural relaxation.

Output
crystal system: cubic
formation enthalpy at 0 K: -441 meV/atom

Unit cell a=7.4227 b=7.4227 c=7.4227 alpha=90.00 beta=90.00 gamma=90.00
Atoms (fractional coordinates):
1 Ho 0.0000 0.0000 0.0000
2 Ho 0.0000 0.5000 0.5000
3 Ho 0.5000 0.0000 0.5000
4 Ho 0.5000 0.5000 0.0000
5 Th 0.0000 0.0000 0.5000
6 Th 0.0000 0.5000 0.0000
7 Th 0.5000 0.0000 0.0000
8 Th 0.5000 0.5000 0.5000
9 In 0.2500 0.2500 0.2500
10 In 0.2500 0.7500 0.7500
11 In 0.7500 0.2500 0.7500
12 In 0.7500 0.7500 0.2500
13 Pd 0.2500 0.2500 0.7500
14 Pd 0.2500 0.7500 0.2500
15 Pd 0.7500 0.2500 0.2500
16 Pd 0.7500 0.7500 0.7500

=====

No. 8
The following is a DFT calculation (PBE) of Tb4Ce3Se8 after structural relaxation.

Output
crystal system: monoclinic
ΔE_f (raw): -1.841 eV per atom

Unit cell a=8.2707 b=8.2707 c=8.2501 alpha=119.88 beta=119.88 gamma=90.04
Atoms (fractional coordinates):
1 Tb 0.0000 0.0000 0.0000
2 Tb 0.0000 0.0000 0.5000
3 Tb 0.0000 0.5000 0.0000
4 Tb 0.5000 0.0000 0.0000
5 Ce 0.0000 0.5000 0.5000
6 Ce 0.5000 0.0000 0.5000
7 Ce 0.5000 0.5000 0.5000
8 Se 0.2463 0.2463 0.4992
9 Se 0.2470 0.7530 0.5000
10 Se 0.2482 0.2482 0.9944
11 Se 0.2501 0.7499 0.0000
12 Se 0.7499 0.2501 0.0000
13 Se 0.7518 0.7518 0.0056
14 Se 0.7530 0.2470 0.5000
15 Se 0.7537 0.7537 0.5008

=====

No. 9
The following is a DFT calculation (PBE) of MnTlGeCl5 after structural relaxation.

Output
crystal system: monoclinic
ΔE_f (raw): -0.915 eV per atom

Unit cell a=7.1430 b=7.1430 c=9.1957 alpha=96.85 beta=96.85 gamma=106.57
Atoms (fractional coordinates):
1 Mn 0.0000 0.0000 0.0000
2 Mn 0.0000 0.0000 0.5000
3 Tl 0.3487 0.6513 0.7500
4 Tl 0.6513 0.3487 0.2500
5 Ge 0.3479 0.6521 0.2500
6 Ge 0.6521 0.3479 0.7500
7 Cl 0.0833 0.9167 0.7500
8 Cl 0.0914 0.6771 0.3874
9 Cl 0.2077 0.3499 0.0118
10 Cl 0.3229 0.9086 0.1126
11 Cl 0.3499 0.2077 0.5118
12 Cl 0.6501 0.7923 0.4882
13 Cl 0.6771 0.0914 0.8874
14 Cl 0.7923 0.6501 0.9882
15 Cl 0.9086 0.3229 0.6126
16 Cl 0.9167 0.0833 0.2500

=====

No. 10
The following is a DFT calculation (PBE) of TbHoTm2Tl2 after structural relaxation.

Output
crystal system: orthorhombic
formation enthalpy at 0 K: -261 meV/atom

Unit cell a=5.0565 b=9.9017 c=6.7822 alpha=90.00 beta=90.00 gamma=90.00
Atoms (fractional coordinates):
1 Tb 0.0000 0.0418 0.0000
2 Tb 0.0000 0.9582 0.5000
3 Ho 0.5000 0.1900 0.7184
4 Ho 0.5000 0.8100 0.2184
5 Tm 0.0000 0.3144 0.3762
6 Tm 0.0000 0.6856 0.8762
7 Tm 0.5000 0.4579 0.0923
8 Tm 0.5000 0.5421 0.5923
9 Tl 0.0000 0.3686 0.8376
10 Tl 0.0000 0.6314 0.3376
11 Tl 0.5000 0.1357 0.2550
12 Tl 0.5000 0.8643 0.7550

=====

No. 11
The following is a DFT calculation (PBE) of Ti3Ga after structural relaxation.

Output
crystal system: cubic
formation enthalpy at 0 K: -190 meV/atom

Unit cell a=6.4056 b=6.4056 c=6.4056 alpha=90.00 beta=90.00 gamma=90.00
Atoms (fractional coordinates):
1 Ti 0.0000 0.0000 0.0000
2 Ti 0.0000 0.5000 0.5000
3 Ti 0.2500 0.2500 0.2500
4 Ti 0.2500 0.2500 0.7500
5 Ti 0.2500 0.7500 0.2500
6 Ti 0.2500 0.7500 0.7500
7 Ti 0.5000 0.0000 0.5000
8 Ti 0.5000 0.5000 0.0000
9 Ti 0.7500 0.2500 0.2500
10 Ti 0.7500 0.2500 0.7500
11 Ti 0.7500 0.7500 0.2500
12 Ti 0.7500 0.7500 0.7500
13 Ga 0.0000 0.0000 0.5000
14 Ga 0.0000 0.5000 0.0000
15 Ga 0.5000 0.0000 0.0000
16 Ga 0.5000 0.5000 0.5000

=====

No. 12
The following is a DFT calculation (PBE) of CrP4 after structural relaxation.

Output
crystal system: cubic
formation enthalpy at 0 K: 385 meV/atom

Unit cell a=5.4301 b=5.4301 c=5.4301 alpha=90.00 beta=90.00 gamma=90.00
Atoms (fractional coordinates):
1 Cr 0.0000 0.0000 0.0000
2 Cr 0.5000 0.5000 0.5000
3 P 0.2500 0.2500 0.2500
4 P 0.2500 0.2500 0.7500
5 P 0.2500 0.7500 0.2500
6 P 0.2500 0.7500 0.7500
7 P 0.7500 0.2500 0.2500
8 P 0.7500 0.2500 0.7500
9 P 0.7500 0.7500 0.2500
10 P 0.7500 0.7500 0.7500

=====

No. 13
The following is a DFT calculation (PBE) of LiNiN after structural relaxation.

Output
crystal system: hexagonal
ΔE_f (raw): -0.064 eV per atom

Unit cell a=3.6261 b=3.6261 c=3.4200 alpha=90.00 beta=90.00 gamma=120.00
Atoms (fractional coordinates):
1 Li 0.0000 0.0000 0.0000
2 Ni 0.6667 0.3333 0.5000
3 N 0.6667 0.3333 0.0000

=====

No. 14
The following is a DFT calculation (PBE) of Re2PRh after structural relaxation.

Output
crystal system: trigonal
formation enthalpy at 0 K: -75 meV/atom

Unit cell a=2.8067 b=2.8067 c=24.7849 alpha=90.00 beta=90.00 gamma=120.00
Atoms (fractional coordinates):
1 Re 0.0000 0.0000 0.0000
2 Re 0.0000 0.0000 0.2440
3 Re 0.3333 0.6667 0.6667
4 Re 0.3333 0.6667 0.9107
5 Re 0.6667 0.3333 0.3333
6 Re 0.6667 0.3333 0.5774
7 P 0.0000 0.0000 0.5005
8 P 0.3333 0.6667 0.1671
9 P 0.6667 0.3333 0.8338
10 Rh 0.0000 0.0000 0.7576
11 Rh 0.3333 0.6667 0.4243
12 Rh 0.6667 0.3333 0.0910

=====

No. 15
The following is a DFT calculation (PBE) of SrFe2B after structural relaxation.

Output
crystal system: tetragonal
formation enthalpy at 0 K: 505 meV/atom

Unit cell a=4.6433 b=4.6433 c=13.8246 alpha=90.00 beta=90.00 gamma=90.00
Atoms (fractional coordinates):
1 Sr 0.0000 0.2500 0.3750
2 Sr 0.0000 0.7500 0.6250
3 Sr 0.5000 0.2500 0.1250
4 Sr 0.5000 0.7500 0.8750
5 Fe 0.0000 0.0000 0.0000
6 Fe 0.0000 0.5000 0.0000
7 Fe 0.2500 0.2500 0.7500
8 Fe 0.2500 0.7500 0.2500
9 Fe 0.5000 0.0000 0.5000
10 Fe 0.5000 0.5000 0.5000
11 Fe 0.7500 0.2500 0.7500
12 Fe 0.7500 0.7500 0.2500
13 B 0.0000 0.2500 0.8750
14 B 0.0000 0.7500 0.1250
15 B 0.5000 0.2500 0.6250
16 B 0.5000 0.7500 0.3750

=====

No. 16
The following is a DFT calculation (PBE) of MgTi2CdH after structural relaxation.

Output
crystal system: tetragonal
electronic total energy: -2.875 eV per atom

Unit cell a=5.2049 b=5.2049 c=5.1225 alpha=90.00 beta=90.00 gamma=90.00
Atoms (fractional coordinates):
1 Mg 0.0000 0.0000 0.0000
2 Ti 0.0000 0.5000 0.5000
3 Ti 0.5000 0.0000 0.5000
4 Cd 0.0000 0.0000 0.5000
5 H 0.5000 0.5000 0.0000

=====

No. 17
The following is a DFT calculation (PBE) of YZr2W after structural relaxation.

Output
crystal system: trigonal
formation enthalpy at 0 K: 318 meV/atom

Unit cell a=3.3267 b=3.3267 c=29.4577 alpha=90.00 beta=90.00 gamma=120.00
Atoms (fractional coordinates):
1 Y 0.0000 0.0000 0.0000
2 Y 0.3333 0.6667 0.6667
3 Y 0.6667 0.3333 0.3333
4 Zr 0.0000 0.0000 0.2354
5 Zr 0.0000 0.0000 0.7646
6 Zr 0.3333 0.6667 0.4312
7 Zr 0.3333 0.6667 0.9021
8 Zr 0.6667 0.3333 0.0979
9 Zr 0.6667 0.3333 0.5688
10 W 0.0000 0.0000 0.5000
11 W 0.3333 0.6667 0.1667
12 W 0.6667 0.3333 0.8333

=====

No. 18
The following is a DFT calculation (PBE) of Ce2TmHg5 after structural relaxation.

Output
crystal system: tetragonal
formation enthalpy at 0 K: -318 meV/atom

Unit cell a=5.1020 b=5.1020 c=15.6471 alpha=90.00 beta=90.00 gamma=90.00
Atoms (fractional coordinates):
1 Ce 0.0000 0.0000 0.2384
2 Ce 0.0000 0.0000 0.7616
3 Ce 0.5000 0.5000 0.2616
4 Ce 0.5000 0.5000 0.7384
5 Tm 0.0000 0.0000 0.5000
6 Tm 0.5000 0.5000 0.0000
7 Hg 0.0000 0.0000 0.0000
8 Hg 0.0000 0.5000 0.1169
9 Hg 0.0000 0.5000 0.3831
10 Hg 0.0000 0.5000 0.6169
11 Hg 0.0000 0.5000 0.8831
12 Hg 0.5000 0.0000 0.1169
13 Hg 0.5000 0.0000 0.3831
14 Hg 0.5000 0.0000 0.6169
15 Hg 0.5000 0.0000 0.8831
16 Hg 0.5000 0.5000 0.5000

=====

No. 19
The following is a DFT calculation (PBE) of SrMnOs2 after structural relaxation.

Output
crystal system: monoclinic
formation enthalpy at 0 K: 666 meV/atom

Unit cell a=9.1081 b=2.8969 c=6.0181 alpha=90.00 beta=103.06 gamma=90.00
Atoms (fractional coordinates):
1 Sr 0.0000 0.0000 0.0000
2 Sr 0.5000 0.5000 0.0000
3 Mn 0.0000 0.5000 0.5000
4 Mn 0.5000 0.0000 0.5000
5 Os 0.2209 0.0000 0.6563
6 Os 0.2791 0.5000 0.3437
7 Os 0.7209 0.5000 0.6563
8 Os 0.7791 0.0000 0.3437

=====

No. 20
The following is a DFT calculation (PBE) of Zr2InO after structural relaxation.

Output
crystal system: cubic
ΔE_f (raw): -0.195 eV per atom

Unit cell a=6.6998 b=6.6998 c=6.6998 alpha=90.00 beta=90.00 gamma=90.00
Atoms (fractional coordinates):
1 Zr 0.2500 0.2500 0.2500
2 Zr 0.2500 0.2500 0.7500
3 Zr 0.2500 0.7500 0.2500
4 Zr 0.2500 0.7500 0.7500
5 Zr 0.7500 0.2500 0.2500
6 Zr 0.7500 0.2500 0.7500
7 Zr 0.7500 0.7500 0.2500
8 Zr 0.7500 0.7500 0.7500
9 In 0.0000 0.0000 0.0000
10 In 0.0000 0.5000 0.5000
11 In 0.5000 0.0000 0.5000
12 In 0.5000 0.5000 0.0000
13 O 0.0000 0.0000 0.5000
14 O 0.0000 0.5000 0.0000
15 O 0.5000 0.0000 0.0000
16 O 0.5000 0.5000 0.5000

=====

No. 21
The following is a DFT calculation (PBE) of NaInPb2Se4 after structural relaxation.

Output
crystal system: orthorhombic
ΔE_f (raw): -0.620 eV per atom

Unit cell a=8.4615 b=8.4615 c=8.4615 alpha=119.47 beta=119.29 gamma=91.07
Atoms (fractional coordinates):
1 Na 0.0000 0.0000 0.0000
2 Na 0.5000 0.0000 0.5000
3 In 0.5000 0.0000 0.0000
4 In 0.5000 0.5000 0.5000
5 Pb 0.0000 0.0000 0.5000
6 Pb 0.0000 0.5000 0.0000
7 Pb 0.0000 0.5000 0.5000
8 Pb 0.5000 0.5000 0.0000
9 Se 0.2603 0.2447 0.0156
10 Se 0.2643 0.2580 0.4937
11 Se 0.2643 0.7707 0.0063
12 Se 0.2709 0.7553 0.5156
13 Se 0.7291 0.2447 0.4844
14 Se 0.7357 0.2293 0.9937
15 Se 0.7357 0.7420 0.5063
16 Se 0.7397 0.7553 0.9844

=====

No. 22
The following is a DFT calculation (PBE) of Zn3N2 after structural relaxation.

Output
crystal system: trigonal
ΔE_f (raw): 0.134 eV per atom

Unit cell a=3.3977 b=3.3977 c=18.1875 alpha=90.00 beta=90.00 gamma=120.00
Atoms (fractional coordinates):
1 Zn 0.0000 0.0000 0.0000
2 Zn 0.0000 0.0000 0.2216
3 Zn 0.0000 0.0000 0.7722
4 Zn 0.3333 0.6667 0.4388
5 Zn 0.3333 0.6667 0.6667
6 Zn 0.3333 0.6667 0.8883
7 Zn 0.6667 0.3333 0.1055
8 Zn 0.6667 0.3333 0.3333
9 Zn 0.6667 0.3333 0.5550
10 N 0.0000 0.0000 0.3843
11 N 0.0000 0.0000 0.8851
12 N 0.3333 0.6667 0.0509
13 N 0.3333 0.6667 0.5517
14 N 0.6667 0.3333 0.2184
15 N 0.6667 0.3333 0.7176